PBE AgAu7, relaxed; ΔH_f (0 K) = -0.027 eV per atom
1.0
0.0000 4.1609 4.1609
4.1609 0.0000 4.1609
4.1609 4.1609 0.0000
Ag Au
1 7
direct
0.0000 0.0000 0.0000
0.0000 0.5000 0.0000
0.5000 0.0000 0.0000
0.5000 0.5000 0.5000
0.5000 0.5000 0.0000
0.5000 0.0000 0.5000
0.0000 0.5000 0.5000
0.0000 0.0000 0.5000